(1)
## PaBiAuO6 (PBE)

Data for PaBiAuO6 after structural relaxation.

abc: 5.5882 5.5882 10.1965
angles: 90.00 90.00 120.00
Element x y z (fractional)
1 Pa 0.3333 0.6667 0.2500
2 Pa 0.6667 0.3333 0.7500
3 O 0.3434 0.9946 0.6346
4 O 0.6512 0.6566 0.6346
5 O 0.9946 0.3434 0.1346
6 O 0.9946 0.6512 0.3654
7 O 0.3488 0.3434 0.3654
8 O 0.0054 0.6566 0.8654
9 O 0.3488 0.0054 0.1346
10 O 0.6566 0.0054 0.3654
11 O 0.6566 0.6512 0.1346
12 O 0.3434 0.3488 0.8654
13 O 0.0054 0.3488 0.6346
14 O 0.6512 0.9946 0.8654
15 Bi 0.0000 0.0000 0.0000
16 Bi 0.0000 0.0000 0.5000
17 Au 0.6667 0.3333 0.2500
18 Au 0.3333 0.6667 0.7500

uncorrected formation energy = -153 kJ per mole of atoms
M_tot = 1.02 μB per formula unit

***

(2)
## Ca4GaSb (PBE)

Data for Ca4GaSb after structural relaxation.

abc: 7.3937 7.3939 9.1199
angles: 113.93 113.91 90.00
Element x y z (fractional)
1 Ca 0.6326 0.1330 0.2657
2 Ca 0.3669 0.3670 0.7343
3 Ca 0.3674 0.8670 0.7343
4 Ca 0.8673 0.8672 0.7341
5 Ca 0.1327 0.1328 0.2659
6 Ca 0.8668 0.3672 0.7341
7 Ca 0.6331 0.6330 0.2657
8 Ca 0.1332 0.6328 0.2659
9 Ga 0.0000 0.5000 0.5000
10 Ga 0.5000 0.0000 0.5000
11 Sb 0.2500 0.2500 0.0000
12 Sb 0.7500 0.7500 0.0000

uncorrected formation energy = -57 kJ per mole of atoms
M_tot = 0.00 μB per formula unit

***

(3)
## KScTa2 (PBE)

Data for KScTa2 after structural relaxation.

abc: 5.0147 5.0147 5.0147
angles: 121.07 121.07 88.15
Element x y z (fractional)
1 Sc 0.7500 0.2500 0.5000
2 Ta 0.2500 0.7500 0.5000
3 Ta 0.0000 0.0000 0.0000
4 K 0.5000 0.5000 0.0000

ΔE_f = 1.2179 eV per atom
M_tot = 0.00 μB per formula unit
energy above the lowest structure with this stoichiometry = 0.660 eV per atom

***

(4)
## KBeRu (PBE)

Data for KBeRu after structural relaxation.

abc: 4.4389 4.4389 4.4389
angles: 60.00 60.00 60.00
Element x y z (fractional)
1 Be 0.0000 0.0000 0.0000
2 Ru 0.7500 0.7500 0.7500
3 K 0.5000 0.5000 0.5000

ΔE_f = 1.6538 eV per atom
M_tot = 0.88 μB per formula unit
energy above the lowest structure with this stoichiometry = 1.150 eV per atom

***

(5)
## Mg3Zn5Ga2 (PBE)

Data for Mg3Zn5Ga2 after structural relaxation.

abc: 5.6393 8.6089 8.6089
angles: 89.83 70.88 70.88
Element x y z (fractional)
1 Mg 0.3828 0.3559 0.8785
2 Mg 0.7500 0.0000 0.0000
3 Mg 0.1172 0.1215 0.6441
4 Mg 0.2500 0.0000 0.0000
5 Mg 0.8828 0.8785 0.3559
6 Mg 0.6172 0.6441 0.1215
7 Zn 0.5089 0.7411 0.7411
8 Zn 0.1235 0.5235 0.2295
9 Zn 0.7500 0.5000 0.5000
10 Zn 0.3765 0.7705 0.4765
11 Zn 0.9911 0.2589 0.2589
12 Zn 0.2500 0.5000 0.5000
13 Zn 0.0089 0.7411 0.7411
14 Zn 0.8765 0.4765 0.7705
15 Zn 0.4911 0.2589 0.2589
16 Zn 0.6235 0.2295 0.5235
17 Ga 0.3575 0.9920 0.2931
18 Ga 0.1425 0.7069 0.0080
19 Ga 0.8575 0.2931 0.9920
20 Ga 0.6425 0.0080 0.7069

ΔE_f = -0.0144 eV per atom
M_tot = 0.00 μB per formula unit
energy above the lowest structure with this stoichiometry = 0.017 eV per atom

***

(6)
## NiMoBr2 (PBE)

Data for NiMoBr2 after structural relaxation.

abc: 4.7675 4.7675 4.7675
angles: 60.00 60.00 60.00
Element x y z (fractional)
1 Br 0.7500 0.7500 0.7500
2 Br 0.0000 0.0000 0.0000
3 Mo 0.5000 0.5000 0.5000
4 Ni 0.2500 0.2500 0.2500

uncorrected formation energy = 106 kJ per mole of atoms
M_tot = 2.34 μB per formula unit
energy above the lowest structure with this stoichiometry = 1.054 eV per atom

***

(7)
## Th2As4PdPt3 (PBE)

Data for Th2As4PdPt3 after structural relaxation.

abc: 4.4827 4.4827 9.8513
angles: 90.00 90.00 90.00
Element x y z (fractional)
1 Pt 0.0000 0.5000 0.1233
2 Pt 0.5000 0.0000 0.8767
3 Pt 0.0000 0.0000 0.5000
4 Pd 0.5000 0.5000 0.5000
5 As 0.0000 0.5000 0.3717
6 As 0.0000 0.0000 0.0000
7 As 0.5000 0.5000 0.0000
8 As 0.5000 0.0000 0.6283
9 Th 0.5000 0.0000 0.2541
10 Th 0.0000 0.5000 0.7459

ΔE_f = -0.8458 eV per atom
M_tot = 0.00 μB per formula unit

***

(8)
## Hg8Br3O4 (PBE)

Data for Hg8Br3O4 after structural relaxation.

abc: 6.4740 7.0483 32.3846
angles: 83.91 89.99 90.00
Element x y z (fractional)
1 Hg 0.6715 0.7806 0.3923
2 Hg 0.8643 0.8856 0.5705
3 Hg 0.0865 0.2823 0.7097
4 Hg 0.8292 0.4498 0.9606
5 Hg 0.6356 0.3855 0.0706
6 Hg 0.9385 0.0129 0.1791
7 Hg 0.1715 0.7193 0.1077
8 Hg 0.4135 0.7823 0.2098
9 Hg 0.1349 0.1491 0.2791
10 Hg 0.9135 0.7177 0.2903
11 Hg 0.3291 0.0502 0.5394
12 Hg 0.1357 0.1144 0.4295
13 Hg 0.4385 0.4871 0.3210
14 Hg 0.6349 0.3509 0.2210
15 Hg 0.5631 0.8464 0.8743
16 Hg 0.3731 0.1468 0.9939
17 Hg 0.6269 0.8532 0.0061
18 Hg 0.0632 0.6536 0.6256
19 Hg 0.3651 0.6491 0.7790
20 Hg 0.4369 0.1536 0.1257
21 Hg 0.3285 0.2194 0.6077
22 Hg 0.1269 0.6467 0.4939
23 Hg 0.5865 0.2177 0.7902
24 Hg 0.8285 0.2807 0.8923
25 Hg 0.3644 0.6145 0.9294
26 Hg 0.1708 0.5502 0.0394
27 Hg 0.8651 0.8509 0.7209
28 Hg 0.0615 0.9871 0.8209
29 Hg 0.8731 0.3533 0.5061
30 Hg 0.5615 0.5129 0.6790
31 Hg 0.6709 0.9498 0.4606
32 Hg 0.9368 0.3464 0.3744
33 Br 0.6574 0.0958 0.3147
34 Br 0.4831 0.6255 0.5579
35 Br 0.1574 0.4042 0.1853
36 Br 0.8426 0.5958 0.8147
37 Br 0.0170 0.1255 0.0579
38 Br 0.8073 0.2255 0.6270
39 Br 0.5169 0.3745 0.4421
40 Br 0.1927 0.7745 0.3730
41 Br 0.6927 0.7255 0.1271
42 Br 0.3426 0.9042 0.6853
43 Br 0.9830 0.8745 0.9421
44 Br 0.3073 0.2745 0.8729
45 O 0.6399 0.0992 0.1936
46 O 0.6079 0.6000 0.2493
47 O 0.7272 0.0726 0.5197
48 O 0.8921 0.1000 0.7492
49 O 0.2295 0.9176 0.1580
50 O 0.8601 0.5992 0.6935
51 O 0.2273 0.4274 0.9803
52 O 0.7295 0.5823 0.3421
53 O 0.7727 0.5726 0.0197
54 O 0.2728 0.9274 0.4803
55 O 0.3921 0.4000 0.7507
56 O 0.2705 0.4177 0.6579
57 O 0.7705 0.0824 0.8420
58 O 0.1079 0.9000 0.2508
59 O 0.3601 0.9008 0.8064
60 O 0.1399 0.4008 0.3065

uncorrected formation energy = -31 kJ per mole of atoms
M_tot = 0.00 μB per formula unit

***

Number 1: calculated volume 15.3 Å³/atom. Number 2: calculated volume 34.0 Å³/atom. Number 3: calculated volume 21.9 Å³/atom. Number 4: calculated volume 20.6 Å³/atom. Number 5: calculated volume 18.5 Å³/atom. Number 6: calculated volume 19.2 Å³/atom. Number 7: calculated volume 19.8 Å³/atom. Number 8: calculated volume 24.5 Å³/atom.